{"formula": "AlSbS2", "functional": "PBE-GGA", "state": "relaxed", "formation_energy_uncorrected_ev_per_atom": -0.6833, "space_group": "R-3m (166)", "e_above_lowest_polymorph_mev_per_atom": 5.3, "mass_density_g_cm3": 4.132, "energy_ev_per_cell": -18.9, "dos_ef_per_ev_atom": 0.14, "lattice_angstrom": [[1.748, 1.009, 8.081], [-1.748, 1.009, 8.081], [0.000, -2.018, 8.081]], "species": ["Al", "Sb", "S", "S"], "frac_coords": [[0.000, 0.000, 0.000], [0.500, 0.500, 0.500], [0.388, 0.388, 0.388], [0.612, 0.612, 0.612]]}

=====

{"formula": "AlSbS2", "functional": "PBE-GGA", "state": "relaxed", "formation_energy_uncorrected_ev_per_atom": -0.6008, "space_group": "C2/c (15)", "e_above_lowest_polymorph_mev_per_atom": 87.8, "mass_density_g_cm3": 3.425, "energy_ev_per_cell": -148.2, "dos_ef_per_ev_atom": 0.00, "lattice_angstrom": [[5.394, -4.949, 0.000], [5.394, 4.949, 0.000], [-5.149, 0.000, 15.466]], "species": ["Al", "Al", "Al", "Al", "Al", "Al", "Al", "Al", "Sb", "Sb", "Sb", "Sb", "Sb", "Sb", "Sb", "Sb", "S", "S", "S", "S", "S", "S", "S", "S", "S", "S", "S", "S", "S", "S", "S", "S"], "frac_coords": [[0.123, 0.742, 0.835], [0.258, 0.877, 0.665], [0.293, 0.408, 0.671], [0.408, 0.293, 0.171], [0.592, 0.707, 0.829], [0.707, 0.592, 0.329], [0.742, 0.123, 0.335], [0.877, 0.258, 0.165], [0.043, 0.689, 0.048], [0.255, 0.286, 0.374], [0.286, 0.255, 0.874], [0.311, 0.957, 0.452], [0.689, 0.043, 0.548], [0.714, 0.745, 0.126], [0.745, 0.714, 0.626], [0.957, 0.311, 0.952], [0.043, 0.957, 0.750], [0.084, 0.437, 0.762], [0.111, 0.191, 0.087], [0.191, 0.111, 0.587], [0.203, 0.595, 0.578], [0.405, 0.797, 0.922], [0.413, 0.587, 0.250], [0.437, 0.084, 0.262], [0.563, 0.916, 0.738], [0.587, 0.413, 0.750], [0.595, 0.203, 0.078], [0.797, 0.405, 0.422], [0.809, 0.889, 0.413], [0.889, 0.809, 0.913], [0.916, 0.563, 0.238], [0.957, 0.043, 0.250]]}

=====

{"formula": "AlSbS2", "functional": "PBE-GGA", "state": "relaxed", "formation_energy_uncorrected_ev_per_atom": -0.6886, "space_group": "C2/c (15)", "e_above_lowest_polymorph_mev_per_atom": 0.0, "mass_density_g_cm3": 4.102, "energy_ev_per_cell": -37.7, "dos_ef_per_ev_atom": 0.13, "lattice_angstrom": [[8.151, -1.743, 0.000], [8.151, 1.743, 0.000], [-0.805, 0.000, 6.065]], "species": ["Al", "Al", "Sb", "Sb", "S", "S", "S", "S"], "frac_coords": [[0.000, 0.500, 0.000], [0.500, 0.000, 0.500], [0.174, 0.826, 0.750], [0.826, 0.174, 0.250], [0.071, 0.591, 0.696], [0.409, 0.929, 0.804], [0.591, 0.071, 0.196], [0.929, 0.409, 0.304]]}